Entry 1:
# BeFeCoAs (GGA-PBE, optimized geometry)
data_BeFeCoAs
_chemical_formula_sum 'Be4 Fe4 Co4 As4'
_cell_length_a 5.633
_cell_length_b 5.633
_cell_length_c 5.633
_cell_angle_alpha 90.00
_cell_angle_beta 90.00
_cell_angle_gamma 90.00
_symmetry_space_group_name_H-M 'F -4 3 m'
_symmetry_Int_Tables_number 216
_symmetry_space_group_name_Hall 'F -4 2 3'
loop_
_atom_site_label
_atom_site_fract_x
_atom_site_fract_y
_atom_site_fract_z
Be1 0.000 0.000 0.000
Fe1 0.000 0.000 0.500
Co1 0.250 0.250 0.250
As1 0.250 0.250 0.750
# total magnetic moment	11.4	μB per cell
# relative energy among the computed polymorphs	303	meV/atom
# mass density	7.4	g/cm3

Entry 2:
# HfBeCoAs (GGA-PBE, optimized geometry)
data_HfBeCoAs
_chemical_formula_sum 'Hf4 Be4 Co4 As4'
_cell_length_a 6.064
_cell_length_b 6.064
_cell_length_c 6.064
_cell_angle_alpha 90.00
_cell_angle_beta 90.00
_cell_angle_gamma 90.00
_symmetry_space_group_name_H-M 'F -4 3 m'
_symmetry_Int_Tables_number 216
_symmetry_space_group_name_Hall 'F -4 2 3'
loop_
_atom_site_label
_atom_site_fract_x
_atom_site_fract_y
_atom_site_fract_z
Hf1 0.000 0.000 0.000
Be1 0.250 0.250 0.250
Co1 0.250 0.250 0.750
As1 0.000 0.000 0.500
# total magnetic moment	0.0	μB per cell
# relative energy among the computed polymorphs	0	meV/atom
# mass density	9.6	g/cm3

Entry 3:
# HfBeCoAs (GGA-PBE, optimized geometry)
data_HfBeCoAs
_chemical_formula_sum 'Hf4 Be4 Co4 As4'
_cell_length_a 6.074
_cell_length_b 6.074
_cell_length_c 6.074
_cell_angle_alpha 90.00
_cell_angle_beta 90.00
_cell_angle_gamma 90.00
_symmetry_space_group_name_H-M 'F -4 3 m'
_symmetry_Int_Tables_number 216
_symmetry_space_group_name_Hall 'F -4 2 3'
loop_
_atom_site_label
_atom_site_fract_x
_atom_site_fract_y
_atom_site_fract_z
Hf1 0.000 0.000 0.000
Be1 0.250 0.250 0.750
Co1 0.000 0.000 0.500
As1 0.250 0.250 0.250
# total magnetic moment	0.0	μB per cell
# relative energy among the computed polymorphs	27	meV/atom
# mass density	9.5	g/cm3

Entry 4:
# KBeCoAs2 (GGA-PBE, optimized geometry)
data_KBeCoAs2
_chemical_formula_sum 'K2 Be2 Co2 As4'
_cell_length_a 3.810
_cell_length_b 3.810
_cell_length_c 13.502
_cell_angle_alpha 90.00
_cell_angle_beta 90.00
_cell_angle_gamma 90.00
_symmetry_space_group_name_H-M 'I -4 m 2'
_symmetry_Int_Tables_number 119
_symmetry_space_group_name_Hall 'I -4 -2'
loop_
_atom_site_label
_atom_site_fract_x
_atom_site_fract_y
_atom_site_fract_z
K1 0.000 0.000 0.000
Be1 0.000 0.500 0.250
Co1 0.000 0.500 0.750
As1 0.000 0.000 0.347
# total magnetic moment	0.5	μB per cell
# mass density	4.4	g/cm3

Entry 5:
# Li2BeCoAs2 (GGA-PBE, optimized geometry)
data_Li2BeCoAs2
_chemical_formula_sum 'Li2 Be1 Co1 As2'
_cell_length_a 3.643
_cell_length_b 3.643
_cell_length_c 6.246
_cell_angle_alpha 90.00
_cell_angle_beta 90.00
_cell_angle_gamma 90.00
_symmetry_space_group_name_H-M 'P -4 m 2'
_symmetry_Int_Tables_number 115
_symmetry_space_group_name_Hall 'P -4 -2'
loop_
_atom_site_label
_atom_site_fract_x
_atom_site_fract_y
_atom_site_fract_z
Li1 0.000 0.500 0.161
Be1 0.000 0.000 0.500
Co1 0.500 0.500 0.500
As1 0.000 0.500 0.738
# total magnetic moment	0.0	μB per cell
# mass density	4.6	g/cm3

Entry 6:
# MgBeCoAs (GGA-PBE, optimized geometry)
data_MgBeCoAs
_chemical_formula_sum 'Mg4 Be4 Co4 As4'
_cell_length_a 5.899
_cell_length_b 5.899
_cell_length_c 5.899
_cell_angle_alpha 90.00
_cell_angle_beta 90.00
_cell_angle_gamma 90.00
_symmetry_space_group_name_H-M 'F -4 3 m'
_symmetry_Int_Tables_number 216
_symmetry_space_group_name_Hall 'F -4 2 3'
loop_
_atom_site_label
_atom_site_fract_x
_atom_site_fract_y
_atom_site_fract_z
Mg1 0.000 0.000 0.000
Be1 0.250 0.250 0.750
Co1 0.000 0.000 0.500
As1 0.250 0.250 0.250
# total magnetic moment	0.0	μB per cell
# relative energy among the computed polymorphs	0	meV/atom
# mass density	5.4	g/cm3

Entry 7:
# MgBeCoAs (GGA-PBE, optimized geometry)
data_MgBeCoAs
_chemical_formula_sum 'Mg4 Be4 Co4 As4'
_cell_length_a 5.917
_cell_length_b 5.917
_cell_length_c 5.917
_cell_angle_alpha 90.00
_cell_angle_beta 90.00
_cell_angle_gamma 90.00
_symmetry_space_group_name_H-M 'F -4 3 m'
_symmetry_Int_Tables_number 216
_symmetry_space_group_name_Hall 'F -4 2 3'
loop_
_atom_site_label
_atom_site_fract_x
_atom_site_fract_y
_atom_site_fract_z
Mg1 0.000 0.000 0.000
Be1 0.250 0.250 0.250
Co1 0.250 0.250 0.750
As1 0.000 0.000 0.500
# total magnetic moment	0.0	μB per cell
# relative energy among the computed polymorphs	98	meV/atom
# mass density	5.4	g/cm3

Entry 8:
# BeNbCoAs (GGA-PBE, optimized geometry)
data_BeNbCoAs
_chemical_formula_sum 'Be4 Nb4 Co4 As4'
_cell_length_a 5.972
_cell_length_b 5.972
_cell_length_c 5.972
_cell_angle_alpha 90.00
_cell_angle_beta 90.00
_cell_angle_gamma 90.00
_symmetry_space_group_name_H-M 'F -4 3 m'
_symmetry_Int_Tables_number 216
_symmetry_space_group_name_Hall 'F -4 2 3'
loop_
_atom_site_label
_atom_site_fract_x
_atom_site_fract_y
_atom_site_fract_z
Be1 0.000 0.000 0.000
Nb1 0.250 0.250 0.750
Co1 0.000 0.000 0.500
As1 0.250 0.250 0.250
# total magnetic moment	0.6	μB per cell
# relative energy among the computed polymorphs	152	meV/atom
# mass density	7.4	g/cm3

Entry 9:
# BeNbCoAs (GGA-PBE, optimized geometry)
data_BeNbCoAs
_chemical_formula_sum 'Be4 Nb4 Co4 As4'
_cell_length_a 5.947
_cell_length_b 5.947
_cell_length_c 5.947
_cell_angle_alpha 90.00
_cell_angle_beta 90.00
_cell_angle_gamma 90.00
_symmetry_space_group_name_H-M 'F -4 3 m'
_symmetry_Int_Tables_number 216
_symmetry_space_group_name_Hall 'F -4 2 3'
loop_
_atom_site_label
_atom_site_fract_x
_atom_site_fract_y
_atom_site_fract_z
Be1 0.000 0.000 0.000
Nb1 0.250 0.250 0.250
Co1 0.250 0.250 0.750
As1 0.000 0.000 0.500
# total magnetic moment	0.7	μB per cell
# relative energy among the computed polymorphs	0	meV/atom
# mass density	7.4	g/cm3

Entry 10:
# BeCoNiAs (GGA-PBE, optimized geometry)
data_BeCoNiAs
_chemical_formula_sum 'Be4 Co4 Ni4 As4'
_cell_length_a 5.615
_cell_length_b 5.615
_cell_length_c 5.615
_cell_angle_alpha 90.00
_cell_angle_beta 90.00
_cell_angle_gamma 90.00
_symmetry_space_group_name_H-M 'F -4 3 m'
_symmetry_Int_Tables_number 216
_symmetry_space_group_name_Hall 'F -4 2 3'
loop_
_atom_site_label
_atom_site_fract_x
_atom_site_fract_y
_atom_site_fract_z
Be1 0.000 0.000 0.000
Co1 0.000 0.000 0.500
Ni1 0.250 0.250 0.250
As1 0.250 0.250 0.750
# total magnetic moment	2.2	μB per cell
# relative energy among the computed polymorphs	213	meV/atom
# mass density	7.6	g/cm3

Entry 11:
# BeCoNiAs (GGA-PBE, optimized geometry)
data_BeCoNiAs
_chemical_formula_sum 'Be4 Co4 Ni4 As4'
_cell_length_a 5.553
_cell_length_b 5.553
_cell_length_c 5.553
_cell_angle_alpha 90.00
_cell_angle_beta 90.00
_cell_angle_gamma 90.00
_symmetry_space_group_name_H-M 'F -4 3 m'
_symmetry_Int_Tables_number 216
_symmetry_space_group_name_Hall 'F -4 2 3'
loop_
_atom_site_label
_atom_site_fract_x
_atom_site_fract_y
_atom_site_fract_z
Be1 0.000 0.000 0.000
Co1 0.250 0.250 0.750
Ni1 0.250 0.250 0.250
As1 0.000 0.000 0.500
# total magnetic moment	2.0	μB per cell
# relative energy among the computed polymorphs	0	meV/atom
# mass density	7.8	g/cm3

One value per record, in order, for total DFT energy (no corrections): -5.8075 -6.3715 -6.3441 -4.5185 -4.4311 -4.1525 -4.0550 -6.1419 -6.2934 -5.1932 -5.4065 eV per atom.